A relaxed MnIn2PbI6 crystal. Source: Alexandria via LeMat-Bulk, functional PBE-GGA.

Unit cell a=8.329 b=8.329 c=8.513 alpha=60.71 beta=60.71 gamma=59.99
Each line ends with the local moment (μB).
Sites, in units of the cell vectors:
Mn 0.322 0.322 0.034  4.29
In 0.528 0.528 0.415  0.00
In 0.025 0.025 0.926  0.01
Pb 0.821 0.821 0.538  0.04
I 0.567 0.183 0.254  0.03
I 0.183 0.996 0.254  0.03
I 0.996 0.567 0.254  0.03
I 0.464 0.655 0.780  0.02
I 0.655 0.101 0.780  0.02
I 0.102 0.464 0.780  0.02

Output
formation energy from raw total energies = -0.464 eV per atom
electronic total energy = -32.3 eV per formula unit
symmetry = No. 146
crystal system = trigonal